Density functional theory data (GGA-PBE) for a relaxed HoNpPbO6 crystal.

Calculated values
**Formation energy without anion corrections**: -2542.5 meV per atom
**Uncorrected energy**: -147.72 eV per cell

abc: 5.8398 5.8398 10.1433
angles: 90.00 90.00 120.00
Space group P-31c (No. 163)
One atom of each set of equivalent atoms:
Ho1 0.3333 0.6667 0.2500 (multiplicity 2)
Np1 0.3333 0.6667 0.7500 (multiplicity 2)
Pb1 0.0000 0.0000 0.0000 (multiplicity 2)
O1 0.0289 0.3832 0.6432 (multiplicity 12)